Density functional theory data (PBE) for a relaxed structure of LiBC.

The calculation puts the volume at 12.10 A^3/atom. The value obtained for the energy of formation is -1.51 kcal/mol of atoms.

Cell lengths 3.854, 3.854, 5.645 Å; angles 90.00, 90.00, 120.00 degrees
Fractional positions:
Li: 0.333 0.667 0.250
Li: 0.667 0.333 0.750
B: 0.000 0.000 0.000
B: 0.000 0.000 0.500
C: 0.000 0.000 0.250
C: 0.000 0.000 0.750

Density functional theory data (PBE) for a relaxed structure of Tl9SnSb2.

For the formation energy without anion corrections, the calculation gives 13 meV per atom. The calculation puts the volume at 30.41 A^3/atom.

Cell lengths 4.941, 4.941, 14.944 Å; angles 90.00, 90.00, 90.00 degrees
Fractional positions:
Tl: 0.000 0.000 0.000
Tl: 0.000 0.000 0.335
Tl: 0.000 0.000 0.665
Tl: 0.000 0.500 0.168
Tl: 0.000 0.500 0.500
Tl: 0.000 0.500 0.832
Tl: 0.500 0.000 0.168
Tl: 0.500 0.000 0.500
Tl: 0.500 0.000 0.832
Sn: 0.500 0.500 0.000
Sb: 0.500 0.500 0.331
Sb: 0.500 0.500 0.669

Density functional theory data (PBE) for a relaxed structure of Li4Tb3TmTe8.

For the formation energy without anion corrections, the calculation gives -1290 meV per atom. The calculation puts the volume at 28.84 A^3/atom.

Cell lengths 8.660, 8.660, 8.660 Å; angles 60.21, 60.21, 60.21 degrees
Fractional positions:
Li: 0.000 0.000 0.000
Li: 0.000 0.500 0.500
Li: 0.500 0.000 0.500
Li: 0.500 0.500 0.000
Tb: 0.000 0.000 0.500
Tb: 0.000 0.500 0.000
Tb: 0.500 0.000 0.000
Tm: 0.500 0.500 0.500
Te: 0.250 0.250 0.745
Te: 0.250 0.745 0.250
Te: 0.252 0.252 0.252
Te: 0.255 0.750 0.750
Te: 0.745 0.250 0.250
Te: 0.748 0.748 0.748
Te: 0.750 0.255 0.750
Te: 0.750 0.750 0.255

Density functional theory data (PBE) for a relaxed structure of MgRe3H.

The calculation puts the volume at 18.43 A^3/atom. The calculation puts the distance to the lowest polymorph of the same formula at 2960 meV per atom.

Cell lengths 4.516, 4.516, 4.516 Å; angles 90.00, 90.00, 90.00 degrees
Fractional positions:
Mg: 0.000 0.000 0.000
Re: 0.000 0.000 0.500
Re: 0.000 0.500 0.000
Re: 0.500 0.000 0.000
H: 0.500 0.500 0.500

Density functional theory data (PBE) for a relaxed structure of ZnAg8Sn2.

The calculation puts the volume at 19.79 A^3/atom. The calculation puts the distance to the lowest polymorph of the same formula at 2 meV per atom. The value obtained for the energy of formation is 2.13 kcal/mol of atoms.

Cell lengths 7.697, 7.697, 4.865 Å; angles 102.38, 102.38, 122.47 degrees
Fractional positions:
Zn: 0.000 0.000 0.000
Ag: 0.104 0.317 0.641
Ag: 0.197 0.803 0.000
Ag: 0.317 0.104 0.641
Ag: 0.393 0.393 0.190
Ag: 0.607 0.607 0.810
Ag: 0.683 0.896 0.359
Ag: 0.803 0.197 0.000
Ag: 0.896 0.683 0.359
Sn: 0.301 0.699 0.500
Sn: 0.699 0.301 0.500

Density functional theory data (PBE) for a relaxed structure of TbSmSc2In4.

The calculation puts the volume at 25.07 A^3/atom. The value obtained for the energy of formation is -10.00 kcal/mol of atoms.

Cell lengths 9.041, 9.041, 9.041 Å; angles 33.50, 33.50, 33.50 degrees
Fractional positions:
Tb: 0.000 0.000 0.000
Sm: 0.500 0.500 0.500
Sc: 0.250 0.250 0.250
Sc: 0.750 0.750 0.750
In: 0.124 0.124 0.124
In: 0.374 0.374 0.374
In: 0.626 0.626 0.626
In: 0.876 0.876 0.876

Density functional theory data (PBE) for a relaxed structure of Nd3Er4Tm.

The calculation puts the volume at 32.09 A^3/atom. The value obtained for the energy of formation is 0.09 kcal/mol of atoms.

Cell lengths 11.540, 6.198, 7.178 Å; angles 90.00, 90.00, 90.00 degrees
Fractional positions:
Nd: 0.000 0.167 0.000
Nd: 0.248 0.497 0.500
Nd: 0.252 0.503 0.000
Nd: 0.500 0.833 0.500
Nd: 0.748 0.503 0.000
Nd: 0.752 0.497 0.500
Er: 0.000 0.166 0.500
Er: 0.000 0.667 0.252
Er: 0.250 0.000 0.250
Er: 0.250 0.000 0.750
Er: 0.500 0.333 0.752
Er: 0.500 0.834 0.000
Er: 0.750 0.000 0.250
Er: 0.750 0.000 0.750
Tm: 0.000 0.667 0.748
Tm: 0.500 0.333 0.248

Density functional theory data (PBE) for a relaxed structure of ErAl3Pd2.

The calculation puts the volume at 17.95 A^3/atom. The value obtained for the energy of formation is -17.28 kcal/mol of atoms.

Cell lengths 6.264, 6.264, 5.542 Å; angles 90.00, 90.00, 82.04 degrees
Fractional positions:
Er: 0.147 0.853 0.750
Er: 0.853 0.147 0.250
Al: 0.058 0.613 0.250
Al: 0.387 0.942 0.250
Al: 0.477 0.523 0.250
Al: 0.523 0.477 0.750
Al: 0.613 0.058 0.750
Al: 0.942 0.387 0.750
Pd: 0.274 0.274 0.000
Pd: 0.274 0.274 0.500
Pd: 0.726 0.726 0.000
Pd: 0.726 0.726 0.500